Record 1
The following is a DFT calculation (GGA-PBEsol) of an optimized crystal structure of La5Ag4.

DFT formation energy ... -108 meV per atom
DOS(E_F) ... 1.2546 states/eV per atom
Total energy ... -40.9 eV/f.u.

Cell: 7.0970 9.0634 9.0634 Å, 120.00 90.00 90.00°
Sites, in units of the cell vectors:
La (0.7500, 0.2771, 0.2771)
La (0.2500, 0.7229, 0.7229)
La (0.0000, 0.6667, 0.3333)
La (0.2500, 0.2771, 0.0000)
La (0.7500, 0.0000, 0.7229)
La (0.5000, 0.3333, 0.6667)
La (0.5000, 0.6667, 0.3333)
La (0.0000, 0.3333, 0.6667)
La (0.7500, 0.7229, 0.0000)
La (0.2500, 0.0000, 0.2771)
Ag (0.0000, 0.0000, 0.0000)
Ag (0.5000, 0.0000, 0.0000)
Ag (0.7500, 0.6160, 0.6160)
Ag (0.2500, 0.6160, 0.0000)
Ag (0.2500, 0.3840, 0.3840)
Ag (0.2500, 0.0000, 0.6160)
Ag (0.7500, 0.0000, 0.3840)
Ag (0.7500, 0.3840, 0.0000)

***

Record 2
The following is a DFT calculation (GGA-PBEsol) of an optimized crystal structure of LiBe.

DFT formation energy ... 368 meV per atom
DOS(E_F) ... 0.1801 states/eV per atom
Energy relative to the lowest polymorph listed for this composition ... 0.133 eV per atom
Total energy ... -5.2 eV/f.u.

Cell: 2.8008 2.8008 2.8008 Å, 90.00 90.00 90.00°
Sites, in units of the cell vectors:
Li (0.5000, 0.5000, 0.5000)
Be (0.0000, 0.0000, 0.0000)